(1)
{"formula": "CoOsBr2", "functional": "PBE", "state": "relaxed", "total_energy_ev_per_cell": -19.0, "dos_ef_per_ev_fu": 3.96, "sg": "No. 44", "lattice": [[9.0162, 1.7513, -0.5845], [7.1210, 5.8009, 0.5845], [-7.9552, -4.0183, 2.2952]], "species": ["Br", "Br", "Co", "Os"], "frac_coords": [[0.8961, 0.8961, 0.0000], [0.1047, 0.6047, 0.5000], [0.7078, 0.7078, 0.0000], [0.7914, 0.2914, 0.5000]]}

(2)
{"formula": "Co2OsBr", "functional": "PBE", "state": "relaxed", "total_energy_ev_per_cell": -24.9, "dos_ef_per_ev_fu": 5.51, "sg": "No. 47", "lattice": [[2.8321, 0.0000, 0.0000], [0.0000, 2.8043, -0.0249], [0.0000, 0.0627, 7.4218]], "species": ["Br", "Co", "Co", "Os"], "frac_coords": [[0.5000, 0.7500, 0.7500], [0.0000, 0.7498, 0.0352], [0.0000, 0.7502, 0.4648], [0.5000, 0.2500, 0.2500]]}

(3)
{"formula": "Co2OsBr", "functional": "PBE", "state": "relaxed", "total_energy_ev_per_cell": -22.4, "dos_ef_per_ev_fu": 6.43, "sg": "No. 139", "lattice": [[4.5141, 0.0020, 0.0000], [1.0662, 4.3864, 0.0000], [-2.7901, -2.1942, 2.7889]], "species": ["Br", "Co", "Co", "Os"], "frac_coords": [[0.7500, 0.2500, 0.5000], [0.0000, 0.0000, 0.0000], [0.5000, 0.5000, 0.0000], [0.2500, 0.7500, 0.5000]]}

(4)
{"formula": "CoOs3Br", "functional": "PBE", "state": "relaxed", "total_energy_ev_per_cell": -29.2, "dos_ef_per_ev_fu": 6.34, "sg": "No. 221", "lattice": [[4.5140, 0.0000, 0.0000], [0.0000, 4.5140, 0.0000], [0.0000, 0.0000, 4.5140]], "species": ["Co", "Os", "Os", "Os", "Br"], "frac_coords": [[0.5000, 0.5000, 0.5000], [0.0000, 0.5000, 0.0000], [0.0000, 0.0000, 0.5000], [0.5000, 0.0000, 0.0000], [0.0000, 0.0000, 0.0000]]}

(5)
{"formula": "Co2OsBr", "functional": "PBE", "state": "relaxed", "total_energy_ev_per_cell": -24.1, "dos_ef_per_ev_fu": 5.45, "sg": "No. 160", "lattice": [[-1.8288, 0.9624, -9.5497], [-2.5739, -1.6879, -9.2733], [-4.3909, 0.3247, -8.7225]], "species": ["Br", "Co", "Co", "Os"], "frac_coords": [[0.7276, 0.7276, 0.7276], [0.9911, 0.9911, 0.9911], [0.2582, 0.2582, 0.2582], [0.5231, 0.5231, 0.5231]]}

(6)
{"formula": "CoOsBr2", "functional": "PBE", "state": "relaxed", "total_energy_ev_per_cell": -19.0, "dos_ef_per_ev_fu": 3.57, "sg": "No. 35", "lattice": [[3.3366, 0.0138, 0.0000], [-1.2209, 3.1053, 0.0000], [0.0000, 0.0000, 8.4806]], "species": ["Br", "Br", "Co", "Os"], "frac_coords": [[0.0000, 0.0000, 0.9152], [0.5000, 0.5000, 0.3516], [0.0000, 0.0000, 0.5404], [0.5000, 0.5000, 0.6928]]}

What did the second record say?
{"formula": "Co2OsBr", "functional": "PBE", "state": "relaxed", "total_energy_ev_per_cell": -24.9, "dos_ef_per_ev_fu": 5.51, "sg": "No. 47", "lattice": [[2.8321, 0.0000, 0.0000], [0.0000, 2.8043, -0.0249], [0.0000, 0.0627, 7.4218]], "species": ["Br", "Co", "Co", "Os"], "frac_coords": [[0.5000, 0.7500, 0.7500], [0.0000, 0.7498, 0.0352], [0.0000, 0.7502, 0.4648], [0.5000, 0.2500, 0.2500]]}